DFT (PBE) results for crystalline FeAs2Pb at its relaxed geometry.

Results
total energy	-5.197	eV per atom
energy relative to the elements	0.171	eV per atom

a b c (Å): 4.2890 4.2894 5.4981
angles (deg): 89.82 90.00 90.00
Site moments in Bohr magnetons follow the coordinates.
Element x y z (fractional)
As1 0.0000 0.8764 0.0944  -0.06
As2 0.5000 0.3747 0.4056  -0.06
Fe1 0.0000 0.3758 0.2500  1.75
Pb1 0.5000 0.8732 0.7500  0.01

DFT (PBE) results for crystalline FeAs2Pb at its relaxed geometry.

Results
total energy	-4.787	eV per atom
energy relative to the elements	0.580	eV per atom

a b c (Å): 5.5124 5.5124 5.5124
angles (deg): 135.06 135.06 65.44
Site moments in Bohr magnetons follow the coordinates.
Element x y z (fractional)
As1 0.0000 0.0000 0.0000  -0.05
As2 0.2500 0.7500 0.5000  -0.01
Fe1 0.5000 0.5000 0.0000  2.94
Pb1 0.7500 0.2500 0.5000  -0.02

DFT (PBE) results for crystalline FeAs2Pb at its relaxed geometry.

Results
total energy	-5.303	eV per atom
energy relative to the elements	0.065	eV per atom

a b c (Å): 4.3850 4.3850 6.5330
angles (deg): 75.05 75.05 44.13
Site moments in Bohr magnetons follow the coordinates.
Element x y z (fractional)
As1 0.9739 0.9739 0.9410  -0.03
As2 0.8238 0.8238 0.6277  -0.04
Fe1 0.5260 0.5260 0.6657  1.28
Pb1 0.1763 0.1763 0.2656  -0.01

DFT (PBE) results for crystalline FeAs2Pb at its relaxed geometry.

Results
total energy	-4.839	eV per atom
energy relative to the elements	0.528	eV per atom

a b c (Å): 4.8266 4.8266 3.7547
angles (deg): 90.00 90.00 107.63
Site moments in Bohr magnetons follow the coordinates.
Element x y z (fractional)
As1 0.0000 0.0000 0.0000  -0.02
As2 0.5000 0.5000 0.0000  -0.02
Fe1 0.5000 0.0000 0.5000  2.93
Pb1 0.0000 0.5000 0.5000  -0.01

DFT (PBE) results for crystalline FeAs2Pb at its relaxed geometry.

Results
total energy	-5.146	eV per atom
energy relative to the elements	0.221	eV per atom

a b c (Å): 3.2678 3.2678 7.4914
angles (deg): 90.00 90.00 89.97
Site moments in Bohr magnetons follow the coordinates.
Element x y z (fractional)
As1 0.0000 0.0000 0.0796  -0.01
As2 0.5000 0.5000 0.2968  -0.03
Fe1 0.0000 0.0000 0.4179  1.81
Pb1 0.5000 0.5000 0.7056  -0.05

DFT (PBE) results for crystalline FeAs2Pb at its relaxed geometry.

Results
total energy	-4.747	eV per atom
energy relative to the elements	0.621	eV per atom

a b c (Å): 4.8691 4.8691 4.8691
angles (deg): 60.00 60.00 60.00
Site moments in Bohr magnetons follow the coordinates.
Element x y z (fractional)
As1 0.0000 0.0000 0.0000  0.05
As2 0.2500 0.2500 0.2500  0.03
Fe1 0.5000 0.5000 0.5000  2.93
Pb1 0.7500 0.7500 0.7500  -0.01

DFT (PBE) results for crystalline Fe4AsPb at its relaxed geometry.

Results
total energy	-6.680	eV per atom
energy relative to the elements	0.355	eV per atom

a b c (Å): 5.0746 5.0746 5.0746
angles (deg): 60.00 60.00 60.00
Site moments in Bohr magnetons follow the coordinates.
Element x y z (fractional)
Fe1 0.8751 0.3750 0.3750  2.69
Fe2 0.3750 0.3750 0.8751  2.69
Fe3 0.3750 0.8751 0.3750  2.69
Fe4 0.3750 0.3750 0.3750  2.69
As1 0.0000 0.0000 0.0000  0.00
Pb1 0.7500 0.7500 0.7500  -0.07

DFT (PBE) results for crystalline FeAs2Pb at its relaxed geometry.

Results
total energy	-5.340	eV per atom
energy relative to the elements	0.027	eV per atom

a b c (Å): 9.2365 9.2365 9.2365
angles (deg): 20.18 20.18 20.18
Site moments in Bohr magnetons follow the coordinates.
Element x y z (fractional)
As1 0.9747 0.9747 0.9747  -0.04
As2 0.5253 0.5253 0.5253  -0.04
Fe1 0.2500 0.2500 0.2500  1.82
Pb1 0.7500 0.7500 0.7500  -0.01

DFT (PBE) results for crystalline FeAs2Pb2 at its relaxed geometry.

Results
total energy	-4.916	eV per atom
energy relative to the elements	0.120	eV per atom

a b c (Å): 6.2931 6.2931 5.6810
angles (deg): 90.00 90.00 90.00
Site moments in Bohr magnetons follow the coordinates.
Element x y z (fractional)
Pb1 0.1950 0.6950 0.5000  -0.01
Pb2 0.6950 0.8050 0.5000  -0.01
Pb3 0.8050 0.3050 0.5000  -0.01
Pb4 0.3050 0.1950 0.5000  -0.01
As1 0.3539 0.8539 0.0000  -0.05
As2 0.8539 0.6461 0.0000  -0.05
As3 0.6461 0.1461 0.0000  -0.05
As4 0.1461 0.3539 0.0000  -0.05
Fe1 0.0000 0.0000 0.0000  1.73
Fe2 0.5000 0.5000 0.0000  1.72

DFT (PBE) results for crystalline FeAs2Pb at its relaxed geometry.

Results
total energy	-4.873	eV per atom
energy relative to the elements	0.494	eV per atom

a b c (Å): 5.5940 4.8365 4.1732
angles (deg): 77.46 68.25 114.74
Site moments in Bohr magnetons follow the coordinates.
Element x y z (fractional)
As1 0.0000 0.0000 0.0000  -0.01
As2 0.5000 0.0000 0.5000  -0.01
Fe1 0.0000 0.5000 0.5000  2.94
Pb1 0.5000 0.5000 0.0000  -0.02

DFT (PBE) results for crystalline FeAs2Pb at its relaxed geometry.

Results
total energy	-5.279	eV per atom
energy relative to the elements	0.088	eV per atom

a b c (Å): 3.9215 3.9215 7.3194
angles (deg): 83.15 83.15 48.27
Site moments in Bohr magnetons follow the coordinates.
Element x y z (fractional)
As1 0.0331 0.0331 0.9088  -0.04
As2 0.4669 0.4669 0.5912  -0.04
Fe1 0.7500 0.7500 0.7500  1.63
Pb1 0.2500 0.2500 0.2500  0.01

DFT (PBE) results for crystalline FeAs2Pb at its relaxed geometry.

Results
total energy	-5.237	eV per atom
energy relative to the elements	0.131	eV per atom

a b c (Å): 3.8602 4.7079 4.8962
angles (deg): 67.36 90.00 90.00
Site moments in Bohr magnetons follow the coordinates.
Element x y z (fractional)
As1 0.0000 0.0574 0.0960  -0.01
As2 0.0000 0.4426 0.4040  -0.01
Fe1 0.5000 0.2500 0.2500  1.24
Pb1 0.5000 0.7500 0.7500  -0.04

DFT (PBE) results for crystalline FeAs2Pb at its relaxed geometry.

Results
total energy	-5.220	eV per atom
energy relative to the elements	0.147	eV per atom

a b c (Å): 5.8753 5.8753 7.2504
angles (deg): 66.10 66.10 90.00
Site moments in Bohr magnetons follow the coordinates.
Element x y z (fractional)
Pb1 0.0000 0.0000 0.0000  0.04
Pb2 0.7500 0.2500 0.5000  0.04
As1 0.5357 0.1250 0.2500  -0.04
As2 0.2143 0.6250 0.2500  -0.04
As3 0.3750 0.4643 0.7500  -0.05
As4 0.8750 0.7857 0.7500  -0.04
Fe1 0.5000 0.5000 0.0000  1.83
Fe2 0.2500 0.7500 0.5000  1.82

DFT (PBE) results for crystalline Rb2FeAsPb at its relaxed geometry.

Results
total energy	-3.375	eV per atom
energy relative to the elements	0.376	eV per atom

a b c (Å): 6.7636 4.4532 6.7636
angles (deg): 90.00 90.00 90.00
Site moments in Bohr magnetons follow the coordinates.
Element x y z (fractional)
Pb1 0.5000 0.5000 0.5000  0.45
As1 0.0000 0.5000 0.0000  -0.09
Fe1 0.0000 0.0000 0.0000  2.43
Rb1 0.0000 0.0000 0.5000  0.02
Rb2 0.5000 0.0000 0.0000  0.02

DFT (PBE) results for crystalline Fe2ReAsPb at its relaxed geometry.

Results
total energy	-6.610	eV per atom
energy relative to the elements	0.937	eV per atom

a b c (Å): 4.8286 4.6780 4.8286
angles (deg): 90.00 90.00 90.00
Site moments in Bohr magnetons follow the coordinates.
Element x y z (fractional)
Pb1 0.5000 0.5000 0.5000  -0.11
Re1 0.0000 0.0000 0.0000  -0.09
As1 0.0000 0.5000 0.0000  0.08
Fe1 0.0000 0.0000 0.5000  3.03
Fe2 0.5000 0.0000 0.0000  2.76

DFT (PBE) results for crystalline Fe2ReAsPb at its relaxed geometry.

Results
total energy	-6.024	eV per atom
energy relative to the elements	1.522	eV per atom

a b c (Å): 4.3890 5.4406 4.3890
angles (deg): 90.00 90.00 90.00
Site moments in Bohr magnetons follow the coordinates.
Element x y z (fractional)
Pb1 0.0000 0.5000 0.0000  -0.04
Re1 0.5000 0.5000 0.5000  2.39
As1 0.0000 0.0000 0.0000  -0.04
Fe1 0.0000 0.0000 0.5000  2.52
Fe2 0.5000 0.0000 0.0000  2.58

DFT (PBE) results for crystalline FeAs2PbSe at its relaxed geometry.

Results
total energy	-4.789	eV per atom

a b c (Å): 4.4114 4.4114 5.3549
angles (deg): 90.00 90.00 90.00
Site moments in Bohr magnetons follow the coordinates.
Element x y z (fractional)
Pb1 0.5000 0.5000 0.5000  0.01
As1 0.0000 0.5000 0.0000  0.00
As2 0.5000 0.0000 0.0000  0.00
Fe1 0.0000 0.0000 0.0000  0.23
Se1 0.0000 0.0000 0.5000  -0.01

DFT (PBE) results for crystalline FeAs2PbSe at its relaxed geometry.

Results
total energy	-3.230	eV per atom

a b c (Å): 5.3009 5.3009 5.3598
angles (deg): 90.00 90.00 90.00
Site moments in Bohr magnetons follow the coordinates.
Element x y z (fractional)
Pb1 0.0000 0.0000 0.0000  0.00
As1 0.0000 0.5000 0.0000  -0.11
As2 0.5000 0.0000 0.0000  -0.11
Fe1 0.5000 0.5000 0.5000  0.04
Se1 0.0000 0.0000 0.5000  -0.07

DFT (PBE) results for crystalline FeTe2AsPb at its relaxed geometry.

Results
total energy	-4.451	eV per atom

a b c (Å): 5.4774 5.4774 4.3987
angles (deg): 90.00 90.00 90.00
Site moments in Bohr magnetons follow the coordinates.
Element x y z (fractional)
Pb1 0.5000 0.5000 0.5000  0.02
As1 0.0000 0.0000 0.5000  -0.10
Te1 0.0000 0.5000 0.0000  0.06
Te2 0.5000 0.0000 0.0000  0.06
Fe1 0.0000 0.0000 0.0000  1.90

DFT (PBE) results for crystalline Fe2AsPd2 at its relaxed geometry.

Results
total energy	-6.051	eV per atom
energy relative to the elements	0.341	eV per atom

a b c (Å): 3.7139 3.7139 6.4176
angles (deg): 73.18 73.18 90.00
Site moments in Bohr magnetons follow the coordinates.
Element x y z (fractional)
As1 0.0000 0.0000 0.0000  -0.03
Fe1 0.4019 0.4019 0.1961  2.90
Fe2 0.5981 0.5981 0.8039  2.90
Pd1 0.7500 0.2500 0.5000  0.30
Pd2 0.2500 0.7500 0.5000  0.30

DFT (PBE) results for crystalline FeAs2Pd at its relaxed geometry.

Results
total energy	-5.496	eV per atom
energy relative to the elements	0.242	eV per atom

a b c (Å): 2.9992 2.9992 8.8721
angles (deg): 80.27 80.27 60.00
Site moments in Bohr magnetons follow the coordinates.
Element x y z (fractional)
As1 0.0897 0.0897 0.7310  -0.02
As2 0.9103 0.9103 0.2690  -0.02
Fe1 0.0000 0.0000 0.0000  2.60
Pd1 0.5000 0.5000 0.5000  0.00

DFT (PBE) results for crystalline Fe2As2Pd at its relaxed geometry.

Results
total energy	-6.307	eV per atom
energy relative to the elements	-0.023	eV per atom

a b c (Å): 6.8830 6.8830 2.8028
angles (deg): 90.00 90.00 90.00
Site moments in Bohr magnetons follow the coordinates.
Element x y z (fractional)
As1 0.3459 0.8459 0.0000  -0.01
As2 0.8459 0.6541 0.0000  -0.01
As3 0.6541 0.1541 0.0000  -0.01
As4 0.1541 0.3459 0.0000  -0.01
Fe1 0.1394 0.6394 0.5000  0.21
Fe2 0.6394 0.8606 0.5000  0.21
Fe3 0.8606 0.3606 0.5000  0.21
Fe4 0.3606 0.1394 0.5000  0.21
Pd1 0.0000 0.0000 0.0000  0.00
Pd2 0.5000 0.5000 0.0000  0.00

DFT (PBE) results for crystalline FeAsPd6 at its relaxed geometry.

Results
total energy	-5.628	eV per atom
energy relative to the elements	-0.095	eV per atom

a b c (Å): 6.8328 6.7576 5.0165
angles (deg): 47.76 47.70 66.33
Site moments in Bohr magnetons follow the coordinates.
Element x y z (fractional)
Fe1 0.5000 0.5000 0.5000  3.29
As1 0.0000 0.0000 0.0000  -0.01
Pd1 0.9478 0.4245 0.8701  0.06
Pd2 0.7562 0.0442 0.7755  0.06
Pd3 0.4215 0.2425 0.2923  0.07
Pd4 0.2438 0.9558 0.2245  0.06
Pd5 0.0522 0.5755 0.1299  0.06
Pd6 0.5785 0.7575 0.7077  0.07

DFT (PBE) results for crystalline FeAsPd2 at its relaxed geometry.

Results
total energy	-5.596	eV per atom
energy relative to the elements	0.278	eV per atom

a b c (Å): 3.6886 3.6886 9.3834
angles (deg): 78.66 78.66 90.00
Site moments in Bohr magnetons follow the coordinates.
Element x y z (fractional)
As1 0.0000 0.0000 0.0000  -0.01
As2 0.7500 0.2500 0.5000  -0.02
Fe1 0.5000 0.5000 0.0000  0.10
Fe2 0.2500 0.7500 0.5000  0.10
Pd1 0.6230 0.1250 0.2500  0.01
Pd2 0.1270 0.6250 0.2500  0.01
Pd3 0.3750 0.3770 0.7500  0.01
Pd4 0.8750 0.8730 0.7500  0.01

DFT (PBE) results for crystalline Fe3AsPd at its relaxed geometry.

Results
total energy	-5.870	eV per atom
energy relative to the elements	1.176	eV per atom

a b c (Å): 4.6226 4.6226 4.6226
angles (deg): 90.00 90.00 90.00
Site moments in Bohr magnetons follow the coordinates.
Element x y z (fractional)
As1 0.5000 0.5000 0.5000  0.02
Fe1 0.0000 0.5000 0.0000  3.23
Fe2 0.0000 0.0000 0.5000  3.70
Fe3 0.5000 0.0000 0.0000  2.60
Pd1 0.0000 0.0000 0.0000  0.45

DFT (PBE) results for crystalline Fe3AsPd at its relaxed geometry.

Results
total energy	-6.333	eV per atom
energy relative to the elements	0.713	eV per atom

a b c (Å): 4.3746 4.3746 4.3746
angles (deg): 90.00 90.00 90.00
Site moments in Bohr magnetons follow the coordinates.
Element x y z (fractional)
As1 0.0000 0.0000 0.0000  -0.07
Fe1 0.0000 0.5000 0.0000  2.49
Fe2 0.0000 0.0000 0.5000  2.63
Fe3 0.5000 0.0000 0.0000  2.61
Pd1 0.5000 0.5000 0.5000  0.34

DFT (PBE) results for crystalline FeAsPd3 at its relaxed geometry.

Results
total energy	-5.271	eV per atom
energy relative to the elements	0.467	eV per atom

a b c (Å): 4.6113 4.6113 4.6113
angles (deg): 90.00 90.00 90.00
Site moments in Bohr magnetons follow the coordinates.
Element x y z (fractional)
As1 0.0000 0.0000 0.0000  0.01
Fe1 0.5000 0.5000 0.5000  3.37
Pd1 0.0000 0.5000 0.0000  0.00
Pd2 0.0000 0.0000 0.5000  -0.01
Pd3 0.5000 0.0000 0.0000  0.04

DFT (PBE) results for crystalline Fe2As2Pd at its relaxed geometry.

Results
total energy	-6.037	eV per atom
energy relative to the elements	0.246	eV per atom

a b c (Å): 3.7685 3.7685 5.7901
angles (deg): 71.01 71.01 90.00
Site moments in Bohr magnetons follow the coordinates.
Element x y z (fractional)
As1 0.7500 0.2500 0.5000  -0.05
As2 0.2500 0.7500 0.5000  -0.05
Fe1 0.3896 0.3896 0.2207  0.70
Fe2 0.6104 0.6104 0.7793  0.70
Pd1 0.0000 0.0000 0.0000  0.15